Entry 1:
The following is a DFT calculation (PBE) of a relaxed structure of PmMgScPb.

Properties
The calculated formation energy is -1.02 eV/f.u. As for the space group: No. 216. The value obtained for the calculated total energy is -4.35 eV/atom.

```
4
Lattice="0.0000 3.7393 3.7393 3.7393 0.0000 3.7393 3.7393 3.7393 0.0000" Properties=species:S:1:pos:R:3 pbc="T T T"
Pm 0.0000 0.0000 0.0000
Mg 5.6090 5.6090 5.6090
Sc 3.7393 3.7393 3.7393
Pb 1.8697 1.8697 1.8697
```

=====

Entry 2:
The following is a DFT calculation (PBE) of a relaxed structure of PmSmMgPb.

Properties
The calculated formation energy is -1.30 eV/f.u. As for the space group: No. 216. The value obtained for the calculated total energy is -4.02 eV/atom.

```
4
Lattice="0.0000 3.8600 3.8600 3.8600 0.0000 3.8600 3.8600 3.8600 0.0000" Properties=species:S:1:pos:R:3 pbc="T T T"
Pm 0.0000 0.0000 0.0000
Sm 3.8600 3.8600 3.8600
Mg 5.7900 5.7900 5.7900
Pb 1.9300 1.9300 1.9300
```